Record 1
{
  "formula": "CdSi2Hg",
  "functional": "PBE",
  "state": "optimized geometry",
  "vol_a3_per_cell": 80.9,
  "formation_energy_uncorrected_kj_per_mol_fu": 200,
  "lattice": [[2.793, 0.000, 0.000], [0.000, 5.349, 0.000], [0.000, 0.000, 5.413]],
  "species": ["Cd", "Si", "Si", "Hg"],
  "frac_coords": [[0.000, 0.000, 0.000], [0.000, 0.500, 0.500], [0.500, 0.500, 0.000], [0.500, 0.000, 0.500]]
}


Record 2
{
  "formula": "BeInP2",
  "functional": "PBE",
  "state": "optimized geometry",
  "vol_a3_per_cell": 68.9,
  "ef_ev_per_atom": 0.468,
  "lattice": [[2.601, -3.626, 0.000], [2.601, 3.626, 0.000], [-1.733, 0.000, 3.651]],
  "species": ["Be", "In", "P", "P"],
  "frac_coords": [[0.000, 0.000, 0.000], [0.500, 0.500, 0.000], [0.000, 0.500, 0.500], [0.500, 0.000, 0.500]]
}


Record 3
{
  "formula": "CsKAsBr2",
  "functional": "PBE",
  "state": "optimized geometry",
  "vol_a3_per_cell": 277.7,
  "formation_energy_uncorrected_kj_per_mol_fu": -192,
  "lattice": [[6.740, 0.000, 0.000], [0.000, 6.740, 0.000], [0.000, 0.000, 6.113]],
  "species": ["Cs", "K", "As", "Br", "Br"],
  "frac_coords": [[0.000, 0.000, 0.000], [0.500, 0.500, 0.500], [0.000, 0.000, 0.500], [0.000, 0.500, 0.000], [0.500, 0.000, 0.000]]
}


What is the formula in the first record?
CdSi2Hg